This record from the Alexandria database describes KCaW2O8 after structural relaxation. The functional is PBE+U.

```
data_KCaW2O8
_chemical_formula_sum 'K2 Ca2 W4 O16'
_cell_length_a 7.7911
_cell_length_b 7.7911
_cell_length_c 6.9653
_cell_angle_alpha 90.00
_cell_angle_beta 90.00
_cell_angle_gamma 90.00
_symmetry_space_group_name_H-M 'I -4 m 2'
_symmetry_Int_Tables_number 119
_symmetry_space_group_name_Hall 'I -4 -2'
loop_
_atom_site_label
_atom_site_type_symbol
_atom_site_fract_x
_atom_site_fract_y
_atom_site_fract_z
K1 K 0.0000 0.0000 0.0000
Ca1 Ca 0.0000 0.5000 0.7500
W1 W 0.0000 0.0000 0.5000
W2 W 0.0000 0.5000 0.2500
O1 O 0.0000 0.1928 0.6483
O2 O 0.0000 0.3203 0.0845
```

Output
As for the density of states at the Fermi level: 11.004 states/eV/f.u. Its spin magnetization is 2.238 Bohr magnetons per cell. For the calculated total energy, the calculation gives -0.495 Ry/atom.